(1)
Below is a relaxed KNdPdO3 crystal, with properties calculated at the PBE level.

```
KNdPdO3
1.0
6.6829 -1.9900 0.0000
6.6829 1.9900 0.0000
-1.9470 0.0000 7.3137
K Nd Pd O
2 2 2 6
direct
0.1438 0.1438 0.0652
0.8562 0.8562 0.9348
0.1494 0.1494 0.5785
0.8506 0.8506 0.4215
0.4931 0.4931 0.7261
0.5069 0.5069 0.2739
0.0068 0.0068 0.3114
0.3310 0.3310 0.6329
0.3477 0.3477 0.2221
0.6523 0.6523 0.7779
0.6690 0.6690 0.3671
0.9932 0.9932 0.6886
```

Values from the calculation:
E_form (uncorrected): -185.9 kJ per mole of atoms
Total magnetization: 0.000 μB/cell

(2)
Below is a relaxed Sr2GeAu3 crystal, with properties calculated at the PBE level.

```
Sr2GeAu3
1.0
3.9756 0.0000 0.0000
0.0000 4.7208 0.0000
0.0000 0.0000 8.1687
Sr Ge Au
2 1 3
direct
0.0000 0.0000 0.0000
0.0000 0.5000 0.4806
0.5000 0.5000 0.8125
0.5000 0.0000 0.3299
0.5000 0.0000 0.6790
0.5000 0.5000 0.1365
```

Values from the calculation:
Final energy: -21.96 eV per cell
Total magnetization: 0.000 μB/cell

(3)
Below is a relaxed Mn2FeOsSe crystal, with properties calculated at the PBE level.

```
Mn2FeOsSe
1.0
4.2178 0.0000 0.0000
0.0000 4.2178 0.0000
0.0000 0.0000 4.1697
Mn Fe Os Se
2 1 1 1
direct
0.0000 0.5000 0.0000
0.5000 0.0000 0.0000
0.0000 0.0000 0.5000
0.5000 0.5000 0.5000
0.0000 0.0000 0.0000
```

Values from the calculation:
E_form (uncorrected): 138.3 kJ per mole of atoms
Total magnetization: 0.002 μB/cell

(4)
Below is a relaxed La2TeRhC crystal, with properties calculated at the PBE level.

```
La2TeRhC
1.0
5.4425 0.0000 0.0000
0.0000 5.4425 0.0000
0.0000 0.0000 3.9549
La Te Rh C
2 1 1 1
direct
0.0000 0.5000 0.0000
0.5000 0.0000 0.0000
0.0000 0.0000 0.5000
0.5000 0.5000 0.5000
0.5000 0.5000 0.0000
```

Values from the calculation:
E_form (uncorrected): -75.7 kJ per mole of atoms
Total magnetization: 0.000 μB/cell

(5)
Below is a relaxed KPdCl2 crystal, with properties calculated at the PBE level.

```
KPdCl2
1.0
-2.9865 2.9865 7.0511
2.9865 -2.9865 7.0511
2.9865 2.9865 -7.0511
K Pd Cl
2 2 4
direct
0.0000 0.0000 0.0000
0.7500 0.2500 0.5000
0.2500 0.7500 0.5000
0.5000 0.5000 0.0000
0.2120 0.6250 0.0870
0.3750 0.4620 0.5870
0.5380 0.1250 0.9130
0.8750 0.7880 0.4130
```

Values from the calculation:
E_form (uncorrected): -83.2 kJ per mole of atoms
Total magnetization: 2.000 μB/cell

(6)
Below is a relaxed Dy4Al12Cu crystal, with properties calculated at the PBE level.

```
Dy4Al12Cu
1.0
-4.3161 4.3161 4.3161
4.3161 -4.3161 4.3161
4.3161 4.3161 -4.3161
Dy Al Cu
4 12 1
direct
0.0000 0.0000 0.5000
0.0000 0.5000 0.0000
0.5000 0.0000 0.0000
0.5000 0.5000 0.5000
0.0000 0.2918 0.2918
0.0000 0.7082 0.7082
0.2500 0.5000 0.7500
0.2500 0.7500 0.5000
0.2918 0.0000 0.2918
0.2918 0.2918 0.0000
0.5000 0.2500 0.7500
0.5000 0.7500 0.2500
0.7082 0.0000 0.7082
0.7082 0.7082 0.0000
0.7500 0.2500 0.5000
0.7500 0.5000 0.2500
0.0000 0.0000 0.0000
```

Values from the calculation:
Final energy: -74.72 eV per cell
Total magnetization: 0.000 μB/cell